Entry 1:
The following is a PBE calculation of a relaxed structure of AgAsPb, from OQMD via LeMat-Bulk.

abc: 4.2804 4.2804 7.7735
angles: 90.00 90.00 90.00
Sites, in units of the cell vectors:
Ag 0.2500 0.7500 0.0000
Ag 0.7500 0.2500 0.0000
As 0.2500 0.2500 0.2392
As 0.7500 0.7500 0.7608
Pb 0.2500 0.2500 0.6605
Pb 0.7500 0.7500 0.3395

Output
The offset from the most stable computed form is 0.0 meV/atom. The space group is P4/nmm. Its total energy is -0.273 Ry per atom.

=====

Entry 2:
The following is a PBE calculation of a relaxed structure of SrZnSb2Pd, from OQMD via LeMat-Bulk.

abc: 4.6669 4.6669 11.3207
angles: 90.00 90.00 90.00
Sites, in units of the cell vectors:
Sr 0.2500 0.2500 0.2438
Sr 0.7500 0.7500 0.7562
Zn 0.2500 0.7500 0.5000
Zn 0.7500 0.2500 0.5000
Sb 0.2500 0.2500 0.6338
Sb 0.2500 0.7500 0.0000
Sb 0.7500 0.2500 0.0000
Sb 0.7500 0.7500 0.3662
Pd 0.2500 0.2500 0.8692
Pd 0.7500 0.7500 0.1308

Output
The space group is P4/nmm. Its total energy is -0.287 Ry per atom.

=====

Entry 3:
The following is a PBE calculation of a relaxed structure of Pb3W5Cl, from OQMD via LeMat-Bulk.

abc: 6.7227 6.7227 4.7866
angles: 90.00 90.00 120.00
Sites, in units of the cell vectors:
Pb 0.0000 0.5225 0.0000
Pb 0.4775 0.4775 0.0000
Pb 0.5225 0.0000 0.0000
W 0.0000 0.2471 0.5000
W 0.2471 0.0000 0.5000
W 0.3333 0.6667 0.5000
W 0.6667 0.3333 0.5000
W 0.7529 0.7529 0.5000
Cl 0.0000 0.0000 0.0000

Output
The space group is P-62m. Its total energy is -0.552 Ry per atom.

=====

Entry 4:
The following is a PBE calculation of a relaxed structure of Re2Hg, from OQMD via LeMat-Bulk.

abc: 5.2939 5.2939 5.2939
angles: 60.00 60.00 60.00
Sites, in units of the cell vectors:
Re 0.0000 0.0000 0.0000
Re 0.0000 0.0000 0.5000
Re 0.0000 0.5000 0.0000
Re 0.5000 0.0000 0.0000
Hg 0.3750 0.3750 0.3750
Hg 0.6250 0.6250 0.6250

Output
The offset from the most stable computed form is 0.0 meV/atom. The space group is Fd-3m. Its total energy is -0.550 Ry per atom.

=====

Entry 5:
The following is a PBE calculation of a relaxed structure of ThNpSn6, from OQMD via LeMat-Bulk.

abc: 4.6772 4.6772 9.3564
angles: 90.00 90.00 90.00
Sites, in units of the cell vectors:
Th 0.0000 0.0000 0.0000
Np 0.0000 0.0000 0.5000
Sn 0.0000 0.5000 0.2584
Sn 0.0000 0.5000 0.7416
Sn 0.5000 0.0000 0.2584
Sn 0.5000 0.0000 0.7416
Sn 0.5000 0.5000 0.0000
Sn 0.5000 0.5000 0.5000

Output
The space group is P4/mmm. Its total energy is -0.421 Ry per atom.

=====

Entry 6:
The following is a PBE calculation of a relaxed structure of KPuTc, from OQMD via LeMat-Bulk.

abc: 4.6816 4.6816 4.6816
angles: 60.00 60.00 60.00
Sites, in units of the cell vectors:
K 0.0000 0.0000 0.0000
Pu 0.7500 0.7500 0.7500
Tc 0.2500 0.2500 0.2500

Output
The space group is F-43m. Its total energy is -0.485 Ry per atom.

=====

Entry 7:
The following is a PBE calculation of a relaxed structure of KFe4N2, from OQMD via LeMat-Bulk.

abc: 7.9570 7.9570 7.9570
angles: 27.55 27.55 27.55
Sites, in units of the cell vectors:
K 0.0000 0.0000 0.0000
Fe 0.1462 0.1462 0.1462
Fe 0.4465 0.4465 0.4465
Fe 0.5535 0.5535 0.5535
Fe 0.8538 0.8538 0.8538
N 0.2315 0.2315 0.2315
N 0.7685 0.7685 0.7685

Output
The space group is R-3m. Its total energy is -0.498 Ry per atom.

=====

Entry 8:
The following is a PBE calculation of a relaxed structure of TaBeHgIr, from OQMD via LeMat-Bulk.

abc: 4.4820 4.4820 4.4820
angles: 60.00 60.00 60.00
Sites, in units of the cell vectors:
Ta 0.0000 0.0000 0.0000
Be 0.5000 0.5000 0.5000
Hg 0.7500 0.7500 0.7500
Ir 0.2500 0.2500 0.2500

Output
The offset from the most stable computed form is 41.8 meV/atom. The space group is F-43m. Its total energy is -0.442 Ry per atom.

=====

Entry 9:
The following is a PBE calculation of a relaxed structure of Zr2NiPtPb2, from OQMD via LeMat-Bulk.

abc: 7.8289 4.5118 14.9691
angles: 90.00 99.87 90.00
Sites, in units of the cell vectors:
Zr 0.0000 0.0000 0.0000
Zr 0.0000 0.5000 0.4985
Zr 0.2482 0.5000 0.2472
Zr 0.2532 0.0000 0.7559
Zr 0.5024 0.5000 0.9988
Zr 0.5048 0.0000 0.4985
Zr 0.7540 0.0000 0.2484
Zr 0.7551 0.5000 0.7559
Ni 0.0620 0.0000 0.1856
Ni 0.3145 0.0000 0.9384
Ni 0.8144 0.0000 0.4356
Ni 0.8151 0.5000 0.9392
Pt 0.0645 0.5000 0.6910
Pt 0.3142 0.5000 0.4350
Pt 0.5649 0.5000 0.1861
Pt 0.5675 0.0000 0.6912
Pb 0.1144 0.0000 0.3694
Pb 0.1295 0.5000 0.8837
Pb 0.3641 0.0000 0.1204
Pb 0.3770 0.5000 0.6254
Pb 0.6301 0.0000 0.8835
Pb 0.6390 0.5000 0.3772
Pb 0.8757 0.0000 0.6189
Pb 0.8861 0.5000 0.1223

Output
The space group is Pm. Its total energy is -0.483 Ry per atom.

=====

Entry 10:
The following is a PBE calculation of a relaxed structure of GdCdAsO, from OQMD via LeMat-Bulk.

abc: 4.1723 4.1898 9.4237
angles: 90.09 90.01 90.00
Sites, in units of the cell vectors:
Gd 0.0000 0.0000 0.0000
Gd 0.0760 0.0000 0.4995
Cd 0.2958 0.4991 0.2434
Cd 0.7856 0.4991 0.7437
As 0.4929 0.5013 0.9841
As 0.5820 0.5013 0.4850
O 0.0213 0.9995 0.7432
O 0.0563 0.9995 0.2432

Output
The space group is P1. Its total energy is -0.380 Ry per atom.

=====

Entry 11:
The following is a PBE calculation of a relaxed structure of LiBeGaFe, from OQMD via LeMat-Bulk.

abc: 3.9218 3.9218 3.9218
angles: 60.00 60.00 60.00
Sites, in units of the cell vectors:
Li 0.0000 0.0000 0.0000
Be 0.5000 0.5000 0.5000
Ga 0.7500 0.7500 0.7500
Fe 0.2500 0.2500 0.2500

Output
The offset from the most stable computed form is 89.6 meV/atom. The space group is F-43m. Its total energy is -0.305 Ry per atom.

=====

Entry 12:
The following is a PBE calculation of a relaxed structure of PmSnGe2, from OQMD via LeMat-Bulk.

abc: 4.6569 4.6569 4.2524
angles: 90.00 90.00 90.00
Sites, in units of the cell vectors:
Pm 0.0000 0.0000 0.0000
Sn 0.5000 0.5000 0.0000
Ge 0.0000 0.5000 0.5000
Ge 0.5000 0.0000 0.5000

Output
The space group is P4/mmm. Its total energy is -0.362 Ry per atom.